Entry 1:
CeAl2I8 | PBE | optimized geometry

a = 14.468 Å, b = 11.043 Å, c = 7.352 Å
α = 90.00°, β = 98.94°, γ = 90.00°
Space group C2/m (No. 12)
Unique sites:
Ce: 0.000 0.000 0.000 x2
Al: 0.199 0.000 0.657 x4
I: 0.106 0.185 0.761 x8
I: 0.130 0.500 0.198 x4
I: 0.191 0.000 0.293 x4

Computed properties:
Mass density, g/cm³: 3.461
Total moment, Bohr magnetons per cell: 3.91
Raw formation energy, meV/atom: -793

=====

Entry 2:
V2AsP | PBE | optimized geometry

a = 3.4285 Å, b = 3.4285 Å, c = 17.7924 Å
α = 90.00°, β = 90.00°, γ = 120.00°
Space group R-3m (No. 166, hexagonal axes)
Unique sites:
V: 0.0000 0.0000 0.2336 x6
As: 0.0000 0.0000 0.0000 x3
P: 0.0000 0.0000 0.5000 x3

Computed properties:
Mass density, g/cm³: 5.715
Total moment, Bohr magnetons per cell: 0.00
DFT formation energy, eV/atom: -0.395

=====

Entry 3:
SrZn2Au2 | PBE | optimized geometry

a = 7.935 Å, b = 7.935 Å, c = 3.282 Å
α = 90.00°, β = 90.00°, γ = 90.00°
Space group P4/mbm (No. 127)
Unique sites:
Sr: 0.000 0.000 0.000 x2
Zn: 0.154 0.346 0.500 x4
Au: 0.136 0.636 0.000 x4

Computed properties:
Mass density, g/cm³: 9.840
Total moment, Bohr magnetons per cell: 0.00
Energy above the most stable polymorph in this dataset, eV per atom: 0.265
DFT formation energy, eV/atom: -0.251

=====

Entry 4:
CaLaGaRh | PBE | optimized geometry

a = 3.997 Å, b = 4.224 Å, c = 11.884 Å
α = 90.00°, β = 90.00°, γ = 90.00°
Space group Amm2 (No. 38)
Unique sites:
Ca: 0.000 0.000 0.000 x2
La: 0.500 0.000 0.284 x2
Ga: 0.500 0.000 0.582 x2
Rh: 0.000 0.000 0.727 x2

Computed properties:
Mass density, g/cm³: 5.820
Total moment, Bohr magnetons per cell: 0.00
DFT formation energy, eV/atom: -0.620

=====

Entry 5:
NiIrPt6 | PBE | optimized geometry

a = 5.223 Å, b = 9.094 Å, c = 5.289 Å
α = 90.00°, β = 90.11°, γ = 90.00°
Space group C2/m (No. 12)
Unique sites:
Ni: 0.000 0.000 0.000 x2
Ir: 0.000 0.000 0.500 x2
Pt: 0.057 0.500 0.249 x4
Pt: 0.217 0.221 0.248 x8

Computed properties:
Mass density, g/cm³: 18.789
Total moment, Bohr magnetons per cell: 1.39
Energy above the most stable polymorph in this dataset, eV per atom: 0.180
DFT formation energy, eV/atom: 0.166

=====

Entry 6:
Dy3Th2 | PBE | optimized geometry

a = 3.5676 Å, b = 3.5676 Å, c = 43.3825 Å
α = 90.00°, β = 90.00°, γ = 120.00°
Space group R-3m (No. 166, hexagonal axes)
Unique sites:
Dy: 0.0000 0.0000 0.0000 x3
Dy: 0.0000 0.0000 0.4005 x6
Th: 0.0000 0.0000 0.1993 x6

Computed properties:
Mass density, g/cm³: 9.913
Total moment, Bohr magnetons per cell: 0.00
DFT formation energy, eV/atom: 0.019

=====

Entry 7:
YBeZn2 | PBE | optimized geometry

a = 3.168 Å, b = 3.168 Å, c = 6.771 Å
α = 90.00°, β = 90.00°, γ = 90.00°
Space group P4mm (No. 99)
Unique sites:
Y: 0.000 0.000 0.000 x1
Be: 0.500 0.500 0.709 x1
Zn: 0.000 0.000 0.544 x1
Zn: 0.500 0.500 0.313 x1

Computed properties:
Mass density, g/cm³: 5.588
Total moment, Bohr magnetons per cell: 0.00
DFT formation energy, eV/atom: 0.016

=====

Entry 8:
Tb5Th6 | PBE | optimized geometry

a = 5.955 Å, b = 10.897 Å, c = 11.714 Å
α = 90.00°, β = 104.30°, γ = 90.00°
Space group C2/m (No. 12)
Unique sites:
Tb: 0.000 0.000 0.000 x2
Tb: 0.000 0.329 0.000 x4
Tb: 0.000 0.350 0.500 x4
Th: 0.028 0.159 0.730 x8
Th: 0.038 0.500 0.762 x4

Computed properties:
Mass density, g/cm³: 9.861
Total moment, Bohr magnetons per cell: 0.00
DFT formation energy, eV/atom: 0.200

=====

Entry 9:
Zr2MnAs | PBE | optimized geometry

a = 3.946 Å, b = 3.655 Å, c = 10.156 Å
α = 90.00°, β = 90.00°, γ = 90.00°
Space group Amm2 (No. 38)
Unique sites:
Zr: 0.000 0.000 0.000 x2
Zr: 0.500 0.000 0.288 x2
Mn: 0.000 0.000 0.730 x2
As: 0.500 0.000 0.570 x2

Computed properties:
Mass density, g/cm³: 7.080
Total moment, Bohr magnetons per cell: 3.52
DFT formation energy, eV/atom: -0.598

=====

Entry 10:
Ag2AsP | PBE | optimized geometry

a = 2.858 Å, b = 4.513 Å, c = 5.619 Å
α = 90.00°, β = 90.00°, γ = 90.00°
Space group Pmm2 (No. 25)
Unique sites:
Ag: 0.000 0.000 0.000 x1
Ag: 0.500 0.500 0.366 x1
As: 0.000 0.000 0.512 x1
P: 0.500 0.500 0.881 x1

Computed properties:
Mass density, g/cm³: 7.369
Total moment, Bohr magnetons per cell: 0.00
Energy above the most stable polymorph in this dataset, eV per atom: 0.175
DFT formation energy, eV/atom: 0.364

=====

Entry 11:
Hf2Zr2In | PBE | optimized geometry

a = 7.647 Å, b = 7.647 Å, c = 3.953 Å
α = 90.00°, β = 90.00°, γ = 90.00°
Space group P4/mbm (No. 127)
Unique sites:
Hf: 0.133 0.367 0.000 x4
Zr: 0.165 0.665 0.500 x4
In: 0.000 0.000 0.000 x2

Computed properties:
Mass density, g/cm³: 9.400
Total moment, Bohr magnetons per cell: 0.00
Energy above the most stable polymorph in this dataset, eV per atom: 0.000
DFT formation energy, eV/atom: 0.040

=====

Entry 12:
MnV6Ni8 | PBE | optimized geometry

a = 9.2647 Å, b = 9.2647 Å, c = 2.5661 Å
α = 90.00°, β = 90.00°, γ = 120.00°
Space group P-3 (No. 147)
Unique sites:
Mn: 0.0000 0.0000 0.0000 x1
V: 0.0954 0.4681 0.2339 x6
Ni: 0.0772 0.7966 0.2844 x6
Ni: 0.3333 0.6667 0.7330 x2

Computed properties:
Mass density, g/cm³: 7.227
Total moment, Bohr magnetons per cell: 3.26
DFT formation energy, eV/atom: 0.156

=====

Entry 13:
BaMoP2Cl | PBE | optimized geometry

a = 4.718 Å, b = 4.718 Å, c = 5.300 Å
α = 90.00°, β = 90.00°, γ = 90.00°
Space group P4/mmm (No. 123)
Unique sites:
Ba: 0.000 0.000 0.000 x1
Mo: 0.500 0.500 0.500 x1
P: 0.000 0.500 0.500 x2
Cl: 0.500 0.500 0.000 x1

Computed properties:
Mass density, g/cm³: 4.655
Total moment, Bohr magnetons per cell: 0.01
Raw formation energy, meV/atom: -678
Energy above the most stable polymorph in this dataset, eV per atom: 0.000

=====

Entry 14:
KLi2P | PBE | optimized geometry

a = 5.335 Å, b = 4.197 Å, c = 5.438 Å
α = 90.00°, β = 107.18°, γ = 90.00°
Space group P2/m (No. 10)
Unique sites:
K: 0.000 0.000 0.000 x1
Li: 0.356 0.500 0.633 x2
P: 0.500 0.000 0.500 x1

Computed properties:
Mass density, g/cm³: 1.199
Total moment, Bohr magnetons per cell: 0.00
DFT formation energy, eV/atom: -0.269

=====

Entry 15:
CuIrPt2 | PBE | optimized geometry

a = 2.756 Å, b = 2.756 Å, c = 7.663 Å
α = 90.00°, β = 90.00°, γ = 90.00°
Space group P4mm (No. 99)
Unique sites:
Cu: 0.000 0.000 0.000 x1
Ir: 0.500 0.500 0.236 x1
Pt: 0.000 0.000 0.489 x1
Pt: 0.500 0.500 0.758 x1

Computed properties:
Mass density, g/cm³: 18.426
Total moment, Bohr magnetons per cell: 0.00
Energy above the most stable polymorph in this dataset, eV per atom: 0.094
DFT formation energy, eV/atom: 0.041

=====

Entry 16:
HoEr2Sc3 | PBE | optimized geometry

a = 5.892 Å, b = 10.198 Å, c = 11.117 Å
α = 90.00°, β = 100.16°, γ = 90.00°
Space group C2/m (No. 12)
Unique sites:
Ho: 0.000 0.167 0.000 x4
Er: 0.000 0.000 0.500 x2
Er: 0.000 0.333 0.500 x4
Er: 0.000 0.500 0.000 x2
Sc: 0.250 0.000 0.250 x4
Sc: 0.250 0.167 0.750 x8

Computed properties:
Mass density, g/cm³: 6.408
Total moment, Bohr magnetons per cell: 0.00
Energy above the most stable polymorph in this dataset, eV per atom: 0.005
DFT formation energy, eV/atom: 0.056

=====

Entry 17:
La2Ni4GeP3 | PBE | optimized geometry

a = 4.092 Å, b = 4.092 Å, c = 9.495 Å
α = 90.00°, β = 90.00°, γ = 90.00°
Space group P-4m2 (No. 115)
Unique sites:
La: 0.000 0.500 0.245 x2
Ni: 0.000 0.000 0.000 x1
Ni: 0.000 0.500 0.626 x2
Ni: 0.500 0.500 0.000 x1
Ge: 0.000 0.000 0.500 x1
P: 0.000 0.500 0.873 x2
P: 0.500 0.500 0.500 x1

Computed properties:
Mass density, g/cm³: 7.084
Total moment, Bohr magnetons per cell: 0.00
Energy above the most stable polymorph in this dataset, eV per atom: 0.000
DFT formation energy, eV/atom: -0.933

=====

Entry 18:
Na2ErAuO4 | PBE | optimized geometry

a = 5.984 Å, b = 5.984 Å, c = 5.857 Å
α = 90.00°, β = 90.00°, γ = 90.00°
Space group I-42m (No. 121)
Unique sites:
Na: 0.000 0.500 0.000 x4
Er: 0.000 0.000 0.000 x2
Au: 0.000 0.000 0.500 x2
O: 0.194 0.194 0.245 x8

Computed properties:
Mass density, g/cm³: 7.509
Total moment, Bohr magnetons per cell: 0.00
Raw formation energy, meV/atom: -1303

=====

Entry 19:
CeScZnPt | PBE | optimized geometry

a = 6.951 Å, b = 6.951 Å, c = 6.951 Å
α = 90.00°, β = 90.00°, γ = 90.00°
Space group F-43m (No. 216)
Unique sites:
Ce: 0.000 0.000 0.000 x4
Sc: 0.000 0.000 0.500 x4
Zn: 0.250 0.250 0.250 x4
Pt: 0.250 0.250 0.750 x4

Computed properties:
Mass density, g/cm³: 8.812
Total moment, Bohr magnetons per cell: 2.09
DFT formation energy, eV/atom: -0.637

=====

Entry 20:
CrRe2As | PBE | optimized geometry

a = 2.982 Å, b = 4.610 Å, c = 8.587 Å
α = 90.00°, β = 90.00°, γ = 90.00°
Space group Cmm2 (No. 35)
Unique sites:
Cr: 0.000 0.000 0.000 x2
Re: 0.000 0.000 0.497 x2
Re: 0.000 0.500 0.241 x2
As: 0.000 0.500 0.771 x2

Computed properties:
Mass density, g/cm³: 14.047
Total moment, Bohr magnetons per cell: 1.84
DFT formation energy, eV/atom: 0.453

=====

Entry 21:
Pm2MgTi | PBE | optimized geometry

a = 5.305 Å, b = 5.305 Å, c = 3.871 Å
α = 90.00°, β = 90.00°, γ = 90.00°
Space group P4/mmm (No. 123)
Unique sites:
Pm: 0.000 0.500 0.000 x2
Mg: 0.000 0.000 0.500 x1
Ti: 0.500 0.500 0.500 x1

Computed properties:
Mass density, g/cm³: 5.521
Total moment, Bohr magnetons per cell: 2.28
Energy above the most stable polymorph in this dataset, eV per atom: 0.046
DFT formation energy, eV/atom: 0.157

=====

Entry 22:
Pm3Ho6Tl | PBE | optimized geometry

a = 12.776 Å, b = 3.509 Å, c = 14.332 Å
α = 90.00°, β = 101.13°, γ = 90.00°
Space group P2_1/m (No. 11)
Unique sites:
Pm: 0.076 0.250 0.101 x2
Pm: 0.368 0.750 0.495 x2
Pm: 0.422 0.250 0.902 x2
Ho: 0.109 0.250 0.459 x2
Ho: 0.191 0.750 0.922 x2
Ho: 0.227 0.750 0.284 x2
Ho: 0.242 0.750 0.687 x2
Ho: 0.343 0.250 0.117 x2
Ho: 0.488 0.250 0.690 x2
Tl: 0.035 0.250 0.727 x2

Computed properties:
Mass density, g/cm³: 8.580
Total moment, Bohr magnetons per cell: 0.00
Energy above the most stable polymorph in this dataset, eV per atom: 0.026
DFT formation energy, eV/atom: 0.019

=====

Entry 23:
AgSbW2 | PBE | optimized geometry

a = 3.1534 Å, b = 3.1534 Å, c = 27.4638 Å
α = 90.00°, β = 90.00°, γ = 120.00°
Space group R3m (No. 160, hexagonal axes)
Unique sites:
Ag: 0.0000 0.0000 0.0000 x3
Sb: 0.0000 0.0000 0.7639 x3
W: 0.0000 0.0000 0.2478 x3
W: 0.0000 0.0000 0.5157 x3

Computed properties:
Mass density, g/cm³: 12.581
Total moment, Bohr magnetons per cell: 0.00
Raw formation energy, meV/atom: 479

=====

Entry 24:
OsRu2S | PBE | optimized geometry

a = 2.861 Å, b = 3.787 Å, c = 10.469 Å
α = 90.00°, β = 90.00°, γ = 90.00°
Space group Amm2 (No. 38)
Unique sites:
Os: 0.000 0.000 0.000 x2
Ru: 0.000 0.000 0.728 x2
Ru: 0.500 0.000 0.385 x2
S: 0.500 0.000 0.173 x2

Computed properties:
Mass density, g/cm³: 12.426
Total moment, Bohr magnetons per cell: 0.00
Raw formation energy, meV/atom: 250

=====

Entry 25:
Li2ScF | PBE | optimized geometry

a = 6.713 Å, b = 6.713 Å, c = 6.713 Å
α = 90.00°, β = 90.00°, γ = 90.00°
Space group Fm-3m (No. 225)
Unique sites:
Li: 0.250 0.250 0.250 x8
Sc: 0.000 0.000 0.000 x4
F: 0.000 0.000 0.500 x4

Computed properties:
Mass density, g/cm³: 1.709
Total moment, Bohr magnetons per cell: 7.95
Raw formation energy, meV/atom: -147
Energy above the most stable polymorph in this dataset, eV per atom: 0.832

=====

Entry 26:
Mn3ZnSb | PBE | optimized geometry

a = 4.634 Å, b = 4.634 Å, c = 4.634 Å
α = 90.00°, β = 90.00°, γ = 90.00°
Space group Pm-3m (No. 221)
Unique sites:
Mn: 0.000 0.000 0.500 x3
Zn: 0.000 0.000 0.000 x1
Sb: 0.500 0.500 0.500 x1

Computed properties:
Mass density, g/cm³: 5.873
Total moment, Bohr magnetons per cell: 11.62
Raw formation energy, meV/atom: 675
Energy above the most stable polymorph in this dataset, eV per atom: 0.000